# 1
A plane-wave DFT calculation with SCAN was carried out for NaPbN3 at its PBEsol-relaxed geometry.

Lattice parameters (Å, degrees): 4.431 4.431 4.431 90.00 90.00 90.00
Atoms (fractional coordinates):
Na  0.000  0.000  0.000
Pb  0.500  0.500  0.500
N  0.000  0.500  0.500
N  0.500  0.000  0.500
N  0.500  0.500  0.000

Properties
For the formation energy without anion corrections, the calculation gives 1.6862 eV per atom. As for the space group: No. 221. The raw total energy is -19.89 eV per atom.

# 2
A plane-wave DFT calculation with SCAN was carried out for NaTaPbN2 at its PBEsol-relaxed geometry.

Lattice parameters (Å, degrees): 4.171 4.171 4.975 90.00 90.00 90.00
Atoms (fractional coordinates):
Na  0.000  0.000  0.000
Ta  0.000  0.000  0.500
Pb  0.500  0.500  0.500
N  0.000  0.500  0.000
N  0.500  0.000  0.000

Properties
For the formation energy without anion corrections, the calculation gives 2.2794 eV per atom. As for the space group: No. 123. The raw total energy is -30.75 eV per atom.

# 3
A plane-wave DFT calculation with SCAN was carried out for NaPdS2N at its PBEsol-relaxed geometry.

Lattice parameters (Å, degrees): 4.980 4.980 3.621 90.00 90.00 90.00
Atoms (fractional coordinates):
Na  0.000  0.000  0.000
Pd  0.500  0.500  0.500
S  0.000  0.500  0.500
S  0.500  0.000  0.500
N  0.500  0.500  0.000

Properties
For the formation energy without anion corrections, the calculation gives 0.3766 eV per atom. As for the space group: No. 123. The raw total energy is -12.73 eV per atom.

# 4
A plane-wave DFT calculation with SCAN was carried out for NaTc2PdN at its PBEsol-relaxed geometry.

Lattice parameters (Å, degrees): 5.169 5.169 3.645 90.00 90.00 90.00
Atoms (fractional coordinates):
Na  0.000  0.000  0.000
Tc  0.000  0.500  0.500
Tc  0.500  0.000  0.500
Pd  0.500  0.500  0.500
N  0.500  0.500  0.000

Properties
For the formation energy without anion corrections, the calculation gives 1.7539 eV per atom. As for the space group: No. 123. The raw total energy is -21.53 eV per atom.

# 5
A plane-wave DFT calculation with SCAN was carried out for Na2PtN at its PBEsol-relaxed geometry.

Lattice parameters (Å, degrees): 7.285 7.285 7.285 93.79 93.79 150.20
Atoms (fractional coordinates):
Na  0.000  0.000  0.000
Na  0.000  0.000  0.500
Na  0.000  0.500  0.000
Na  0.500  0.000  0.500
Pt  0.375  0.625  0.750
Pt  0.625  0.375  0.250
N  0.125  0.875  0.250
N  0.875  0.125  0.750

Properties
For the formation energy without anion corrections, the calculation gives -0.2684 eV per atom. As for the space group: No. 141. The raw total energy is -22.25 eV per atom.

# 6
A plane-wave DFT calculation with SCAN was carried out for RbNa3N at its PBEsol-relaxed geometry.

Lattice parameters (Å, degrees): 5.079 5.079 5.079 90.00 90.00 90.00
Atoms (fractional coordinates):
Rb  0.000  0.000  0.000
Na  0.000  0.500  0.500
Na  0.500  0.000  0.500
Na  0.500  0.500  0.000
N  0.500  0.500  0.500

Properties
For the formation energy without anion corrections, the calculation gives 0.3192 eV per atom. As for the space group: No. 221. The raw total energy is -8.22 eV per atom.

> Look up the raw total energy of the sixth one.

-8.22 eV per atom

> Number 4 is which compound?

NaTc2PdN

> Look up the raw total energy of the first one.

-19.89 eV per atom

> Which formula does entry 1 have?

NaPbN3